Entry 1:
BaGaCl2 | PBE-GGA | relaxed

Summary:
Energy relative to the lowest polymorph listed for this composition: 0.066 eV per atom
ΔE_f (raw): -5.295 eV/f.u.
Theoretical density: 4.1 g/cm3

Cell lengths 5.427, 5.427, 5.427 Å; angles 60.00, 60.00, 60.00 degrees
Element x y z (fractional)
Ba 0.000 0.000 0.000
Ga 0.500 0.500 0.500
Cl 0.250 0.250 0.250
Cl 0.750 0.750 0.750

Entry 2:
BaGaCl2 | PBE-GGA | relaxed

Summary:
Energy relative to the lowest polymorph listed for this composition: 0.134 eV per atom
ΔE_f (raw): -5.025 eV/f.u.
Theoretical density: 3.3 g/cm3

Cell lengths 10.258, 10.258, 10.258 Å; angles 149.21, 149.21, 44.11 degrees
Element x y z (fractional)
Ba 0.000 0.000 0.000
Ba 0.750 0.250 0.500
Ga 0.250 0.750 0.500
Ga 0.500 0.500 0.000
Cl 0.128 0.625 0.003
Cl 0.375 0.378 0.503
Cl 0.622 0.125 0.997
Cl 0.875 0.872 0.497

Entry 3:
BaGaCl6 | PBE-GGA | relaxed

Summary:
ΔE_f (raw): -10.666 eV/f.u.
Theoretical density: 3.3 g/cm3

Cell lengths 6.039, 6.039, 6.047 Å; angles 99.18, 99.18, 99.16 degrees
Element x y z (fractional)
Ba 0.000 0.000 0.000
Ga 0.500 0.500 0.500
Cl 0.214 0.569 0.215
Cl 0.215 0.215 0.571
Cl 0.431 0.786 0.785
Cl 0.569 0.214 0.215
Cl 0.785 0.785 0.429
Cl 0.786 0.431 0.785

Entry 4:
Ba5GaCl5 | PBE-GGA | relaxed

Summary:
ΔE_f (raw): -19.225 eV/f.u.
Theoretical density: 3.5 g/cm3

Cell lengths 8.201, 8.201, 9.435 Å; angles 106.94, 106.94, 46.67 degrees
Element x y z (fractional)
Ba 0.000 0.000 0.000
Ba 0.343 0.343 0.676
Ba 0.345 0.345 0.169
Ba 0.655 0.655 0.831
Ba 0.657 0.657 0.324
Ga 0.500 0.500 0.000
Cl 0.181 0.181 0.846
Cl 0.184 0.184 0.337
Cl 0.500 0.500 0.500
Cl 0.816 0.816 0.663
Cl 0.819 0.819 0.154

Entry 5:
Ba3GaCl2 | PBE-GGA | relaxed

Summary:
ΔE_f (raw): -7.895 eV/f.u.
Theoretical density: 4.0 g/cm3

Cell lengths 9.687, 9.687, 11.506 Å; angles 108.90, 108.90, 26.92 degrees
Element x y z (fractional)
Ba 0.035 0.035 0.305
Ba 0.314 0.314 0.356
Ba 0.367 0.367 0.977
Ba 0.633 0.633 0.023
Ba 0.686 0.686 0.644
Ba 0.965 0.965 0.695
Ga 0.000 0.000 0.000
Ga 0.500 0.500 0.500
Cl 0.185 0.185 0.844
Cl 0.309 0.309 0.641
Cl 0.691 0.691 0.359
Cl 0.815 0.815 0.156

Entry 6:
BaGaCl2 | PBE-GGA | relaxed

Summary:
Energy relative to the lowest polymorph listed for this composition: 0.000 eV per atom
ΔE_f (raw): -5.560 eV/f.u.
Theoretical density: 2.6 g/cm3

Cell lengths 9.422, 9.422, 9.422 Å; angles 29.22, 29.22, 29.22 degrees
Element x y z (fractional)
Ba 0.000 0.000 0.000
Ga 0.500 0.500 0.500
Cl 0.385 0.385 0.385
Cl 0.615 0.615 0.615

Entry 7:
BaGa3Cl | PBE-GGA | relaxed

Summary:
Energy relative to the lowest polymorph listed for this composition: 0.799 eV per atom
ΔE_f (raw): 3.372 eV/f.u.
Theoretical density: 2.5 g/cm3

Cell lengths 6.300, 6.300, 6.300 Å; angles 90.00, 90.00, 90.00 degrees
Element x y z (fractional)
Ba 0.000 0.000 0.000
Ga 0.000 0.000 0.500
Ga 0.000 0.500 0.000
Ga 0.500 0.000 0.000
Cl 0.500 0.500 0.500

Entry 8:
BaGa3Cl | PBE-GGA | relaxed

Summary:
Energy relative to the lowest polymorph listed for this composition: 0.000 eV per atom
ΔE_f (raw): -0.623 eV/f.u.
Theoretical density: 4.1 g/cm3

Cell lengths 5.387, 5.387, 5.387 Å; angles 90.00, 90.00, 90.00 degrees
Element x y z (fractional)
Ba 0.000 0.000 0.000
Ga 0.000 0.500 0.500
Ga 0.500 0.000 0.500
Ga 0.500 0.500 0.000
Cl 0.500 0.500 0.500

Entry 9:
BaGaCl3 | PBE-GGA | relaxed

Summary:
Energy relative to the lowest polymorph listed for this composition: 0.067 eV per atom
ΔE_f (raw): -7.262 eV/f.u.
Theoretical density: 3.3 g/cm3

Cell lengths 5.398, 5.398, 5.398 Å; angles 90.00, 90.00, 90.00 degrees
Element x y z (fractional)
Ba 0.000 0.000 0.000
Ga 0.500 0.500 0.500
Cl 0.000 0.500 0.500
Cl 0.500 0.000 0.500
Cl 0.500 0.500 0.000

Entry 10:
BaGaCl3 | PBE-GGA | relaxed

Summary:
Energy relative to the lowest polymorph listed for this composition: 0.000 eV per atom
ΔE_f (raw): -7.596 eV/f.u.
Theoretical density: 2.4 g/cm3

Cell lengths 6.001, 6.001, 6.001 Å; angles 90.00, 90.00, 90.00 degrees
Element x y z (fractional)
Ba 0.000 0.000 0.000
Ga 0.500 0.500 0.500
Cl 0.000 0.000 0.500
Cl 0.000 0.500 0.000
Cl 0.500 0.000 0.000

Entry 11:
Ba5Ga2Cl2 | PBE-GGA | relaxed

Summary:
ΔE_f (raw): -8.600 eV/f.u.
Theoretical density: 4.3 g/cm3

Cell lengths 9.513, 9.513, 9.081 Å; angles 90.00, 90.00, 56.45 degrees
Element x y z (fractional)
Ba 0.000 0.000 0.000
Ba 0.031 0.701 0.658
Ba 0.201 0.531 0.158
Ba 0.299 0.969 0.658
Ba 0.469 0.799 0.158
Ba 0.500 0.500 0.500
Ba 0.531 0.201 0.842
Ba 0.701 0.031 0.342
Ba 0.799 0.469 0.842
Ba 0.969 0.299 0.342
Ga 0.120 0.880 0.380
Ga 0.380 0.620 0.880
Ga 0.620 0.380 0.120
Ga 0.880 0.120 0.620
Cl 0.197 0.197 0.000
Cl 0.303 0.303 0.500
Cl 0.697 0.697 0.500
Cl 0.803 0.803 0.000

Entry 12:
BaGa6Cl12 | PBE-GGA | relaxed

Summary:
ΔE_f (raw): -19.867 eV/f.u.
Theoretical density: 2.0 g/cm3

Cell lengths 10.466, 10.466, 10.466 Å; angles 111.67, 111.67, 111.67 degrees
Element x y z (fractional)
Ba 0.000 0.000 0.000
Ga 0.326 0.416 0.602
Ga 0.398 0.674 0.584
Ga 0.416 0.602 0.326
Ga 0.584 0.398 0.674
Ga 0.602 0.326 0.416
Ga 0.674 0.584 0.398
Cl 0.085 0.168 0.362
Cl 0.168 0.362 0.085
Cl 0.194 0.703 0.531
Cl 0.297 0.469 0.806
Cl 0.362 0.085 0.168
Cl 0.469 0.806 0.297
Cl 0.531 0.194 0.703
Cl 0.638 0.915 0.832
Cl 0.703 0.531 0.194
Cl 0.806 0.297 0.469
Cl 0.832 0.638 0.915
Cl 0.915 0.832 0.638